VASP calculation (PBE-GGA) on a relaxed KMn2NbRh crystal.

Results
SG   P4/mmm, No. 123
Crystal system   tetragonal
Energy relative to the elements   827 meV per atom
Volume   124.9 Å³/cell

abc: 5.0817 5.0817 4.8360
angles: 90.00 90.00 90.00
Atoms (fractional coordinates):
K (0.0000, 0.0000, 0.0000)
Mn (0.0000, 0.5000, 0.5000)
Mn (0.5000, 0.0000, 0.5000)
Nb (0.5000, 0.5000, 0.0000)
Rh (0.5000, 0.5000, 0.5000)

=====

VASP calculation (PBE-GGA) on a relaxed KMnNb2Rh crystal.

Results
SG   P4/mmm, No. 123
Crystal system   tetragonal
Energy relative to the elements   1079 meV per atom
Volume   116.1 Å³/cell

abc: 4.8324 4.8324 4.9727
angles: 90.00 90.00 90.00
Atoms (fractional coordinates):
K (0.0000, 0.0000, 0.0000)
Mn (0.5000, 0.5000, 0.0000)
Nb (0.0000, 0.5000, 0.5000)
Nb (0.5000, 0.0000, 0.5000)
Rh (0.5000, 0.5000, 0.5000)

=====

VASP calculation (PBE-GGA) on a relaxed K3Mn3NbS8 crystal.

Results
SG   C2/m, No. 12
Crystal system   monoclinic
Volume   341.2 Å³/cell
ΔE_f (raw)   -0.8454 eV/atom

abc: 7.2719 7.2719 8.4999
angles: 115.35 115.35 61.02
Atoms (fractional coordinates):
K (0.0000, 0.0000, 0.0000)
K (0.0000, 0.5000, 0.0000)
K (0.5000, 0.0000, 0.0000)
Mn (0.0000, 0.5000, 0.5000)
Mn (0.5000, 0.0000, 0.5000)
Mn (0.5000, 0.5000, 0.5000)
Nb (0.0000, 0.0000, 0.5000)
S (0.2228, 0.7272, 0.6815)
S (0.2270, 0.2270, 0.6856)
S (0.2728, 0.7772, 0.3185)
S (0.2759, 0.2759, 0.3263)
S (0.7241, 0.7241, 0.6737)
S (0.7272, 0.2228, 0.6815)
S (0.7730, 0.7730, 0.3144)
S (0.7772, 0.2728, 0.3185)

=====

VASP calculation (PBE-GGA) on a relaxed K3Mn2NbSe6 crystal.

Results
SG   C2/m, No. 12
Crystal system   monoclinic
Volume   306.1 Å³/cell
ΔE_f (raw)   -0.8054 eV/atom

abc: 6.8707 6.8707 7.8280
angles: 98.40 98.40 119.99
Atoms (fractional coordinates):
K (0.0000, 0.0000, 0.0000)
K (0.3321, 0.6679, 0.0000)
K (0.6679, 0.3321, 0.0000)
Mn (0.1664, 0.8336, 0.5000)
Mn (0.8336, 0.1664, 0.5000)
Nb (0.5000, 0.5000, 0.5000)
Se (0.1087, 0.4380, 0.3134)
Se (0.2331, 0.2331, 0.6869)
Se (0.4380, 0.1087, 0.3134)
Se (0.5620, 0.8913, 0.6866)
Se (0.7669, 0.7669, 0.3131)
Se (0.8913, 0.5620, 0.6866)

=====

VASP calculation (PBE-GGA) on a relaxed KMnNbSe3 crystal.

Results
SG   P2_1/m, No. 11
Crystal system   monoclinic
Volume   295.4 Å³/cell
ΔE_f (raw)   -0.8284 eV/atom

abc: 8.7320 3.7369 9.8885
angles: 90.00 113.71 90.00
Atoms (fractional coordinates):
K (0.2415, 0.2500, 0.2591)
K (0.7585, 0.7500, 0.7409)
Mn (0.0852, 0.2500, 0.6241)
Mn (0.9148, 0.7500, 0.3759)
Nb (0.3013, 0.7500, 0.8330)
Nb (0.6987, 0.2500, 0.1670)
Se (0.1088, 0.2500, 0.8753)
Se (0.2247, 0.7500, 0.5463)
Se (0.4636, 0.7500, 0.1343)
Se (0.5364, 0.2500, 0.8657)
Se (0.7753, 0.2500, 0.4537)
Se (0.8912, 0.7500, 0.1247)

=====

VASP calculation (PBE-GGA) on a relaxed KZrMn2Nb crystal.

Results
SG   P4/mmm, No. 123
Crystal system   tetragonal
Energy relative to the elements   1104 meV per atom
Volume   133.0 Å³/cell

abc: 5.1070 5.1070 5.0989
angles: 90.00 90.00 90.00
Atoms (fractional coordinates):
K (0.0000, 0.0000, 0.0000)
Zr (0.5000, 0.5000, 0.0000)
Mn (0.0000, 0.5000, 0.5000)
Mn (0.5000, 0.0000, 0.5000)
Nb (0.5000, 0.5000, 0.5000)